Record 1
LiCuHRh2 (PBE-GGA, optimized geometry); SG = P4/mmm; energy above the lowest structure with this stoichiometry = 0.0000 eV/atom; size of the total moment = 0.7 μB/f.u.; VASP energy = -4.89 eV/atom
1.0
3.869 0.000 0.000
0.000 3.869 0.000
0.000 0.000 3.669
Li Cu H Rh
1 1 1 2
Direct
0.000 0.000 0.000
0.500 0.500 0.000
0.000 0.000 0.500
0.000 0.500 0.500
0.500 0.000 0.500

---

Record 2
VIn3Pt12 (PBE-GGA, optimized geometry); SG = P4/mmm; DFT formation energy = -0.420 eV per atom; size of the total moment = 0.4 μB/f.u.; VASP energy = -6.03 eV/atom
1.0
4.013 0.000 0.000
0.000 4.013 0.000
0.000 0.000 16.070
V In Pt
1 3 12
Direct
0.000 0.000 0.000
0.000 0.000 0.248
0.000 0.000 0.500
0.000 0.000 0.752
0.000 0.500 0.115
0.000 0.500 0.373
0.000 0.500 0.627
0.000 0.500 0.885
0.500 0.000 0.115
0.500 0.000 0.373
0.500 0.000 0.627
0.500 0.000 0.885
0.500 0.500 0.000
0.500 0.500 0.244
0.500 0.500 0.500
0.500 0.500 0.756

---

Record 3
YEr4Tm2Sc (PBE-GGA, optimized geometry); SG = P4/mmm; DFT formation energy = 0.037 eV per atom; size of the total moment = 0.0 μB/f.u.; VASP energy = -4.96 eV/atom
1.0
4.922 0.000 0.000
0.000 4.922 0.000
0.000 0.000 9.842
Y Er Tm Sc
1 4 2 1
Direct
0.000 0.000 0.000
0.000 0.500 0.256
0.000 0.500 0.744
0.500 0.000 0.256
0.500 0.000 0.744
0.000 0.000 0.500
0.500 0.500 0.000
0.500 0.500 0.500

---

Record 4
Ce2HoZn2In2 (PBE-GGA, optimized geometry); SG = R-3m; DFT formation energy = -0.253 eV per atom; size of the total moment = 1.8 μB/f.u.; VASP energy = -3.75 eV/atom
1.0
2.280 1.316 9.149
-2.280 1.316 9.149
0.000 -2.633 9.149
Ce Ho Zn In
2 1 2 2
Direct
0.142 0.142 0.142
0.858 0.858 0.858
0.000 0.000 0.000
0.404 0.404 0.404
0.596 0.596 0.596
0.267 0.267 0.267
0.733 0.733 0.733

---

Record 5
Pm5TmSc4 (PBE-GGA, optimized geometry); SG = I4; DFT formation energy = 0.333 eV per atom; energy above the lowest structure with this stoichiometry = 0.2871 eV/atom; size of the total moment = 0.0 μB/f.u.; VASP energy = -5.02 eV/atom
1.0
-4.962 4.962 3.093
4.962 -4.962 3.093
4.962 4.962 -3.093
Pm Tm Sc
5 1 4
Direct
0.000 0.000 0.000
0.482 0.581 0.603
0.581 0.978 0.099
0.879 0.482 0.901
0.978 0.879 0.397
0.462 0.462 0.000
0.176 0.591 0.302
0.289 0.874 0.698
0.591 0.289 0.415
0.874 0.176 0.585

---

Record 6
LiHo2Pt4 (PBE-GGA, optimized geometry); SG = I4/mmm; DFT formation energy = -0.820 eV per atom; energy above the lowest structure with this stoichiometry = 0.0274 eV/atom; size of the total moment = 0.0 μB/f.u.; VASP energy = -5.85 eV/atom
1.0
-3.025 3.025 3.915
3.025 -3.025 3.915
3.025 3.025 -3.915
Li Ho Pt
1 2 4
Direct
0.000 0.000 0.000
0.250 0.750 0.500
0.750 0.250 0.500
0.277 0.277 0.554
0.277 0.723 0.000
0.723 0.277 0.000
0.723 0.723 0.446

---

Record 7
BeTcIr (PBE-GGA, optimized geometry); SG = Cmcm; DFT formation energy = -0.367 eV per atom; energy above the lowest structure with this stoichiometry = 0.0000 eV/atom; size of the total moment = 0.0 μB/f.u.; VASP energy = -8.02 eV/atom
1.0
2.014 -4.584 0.000
2.014 4.584 0.000
0.000 0.000 3.987
Be Tc Ir
2 2 2
Direct
0.248 0.752 0.750
0.752 0.248 0.250
0.411 0.589 0.250
0.589 0.411 0.750
0.101 0.899 0.250
0.899 0.101 0.750

---

Record 8
BaY3 (PBE-GGA, optimized geometry); SG = Cmmm; DFT formation energy = 0.220 eV per atom; energy above the lowest structure with this stoichiometry = 0.0784 eV/atom; size of the total moment = 0.0 μB/f.u.; VASP energy = -5.11 eV/atom
1.0
3.715 -5.269 0.000
3.715 5.269 0.000
0.000 0.000 3.694
Ba Y
1 3
Direct
0.000 0.000 0.000
0.000 0.500 0.500
0.500 0.000 0.500
0.500 0.500 0.000

---

Record 9
InGa2CuRu (PBE-GGA, optimized geometry); SG = P4/mmm; DFT formation energy = 0.282 eV per atom; size of the total moment = 0.0 μB/f.u.; VASP energy = -4.15 eV/atom
1.0
4.754 0.000 0.000
0.000 4.754 0.000
0.000 0.000 4.898
In Ga Cu Ru
1 2 1 1
Direct
0.000 0.000 0.000
0.000 0.500 0.500
0.500 0.000 0.500
0.500 0.500 0.000
0.500 0.500 0.500

---

Record 10
HfSc2Be9 (PBE-GGA, optimized geometry); SG = R-3m; DFT formation energy = -0.145 eV per atom; size of the total moment = 0.0 μB/f.u.; VASP energy = -4.82 eV/atom
1.0
2.321 1.340 7.408
-2.321 1.340 7.408
0.000 -2.680 7.408
Hf Sc Be
1 2 9
Direct
0.000 0.000 0.000
0.142 0.142 0.142
0.858 0.858 0.858
0.079 0.578 0.578
0.334 0.334 0.334
0.422 0.422 0.921
0.422 0.921 0.422
0.500 0.500 0.500
0.578 0.079 0.578
0.578 0.578 0.079
0.666 0.666 0.666
0.921 0.422 0.422

---

Record 11
Ba2Ag2I (PBE-GGA, optimized geometry); SG = I4/mmm; energy above the lowest structure with this stoichiometry = 0.3309 eV/atom; size of the total moment = 0.0 μB/f.u.; VASP energy = -2.63 eV/atom; ΔE_f (raw) = -0.41 eV/atom
1.0
-3.074 3.074 5.455
3.074 -3.074 5.455
3.074 3.074 -5.455
Ba Ag I
2 2 1
Direct
0.250 0.750 0.500
0.750 0.250 0.500
0.125 0.125 0.000
0.875 0.875 0.000
0.500 0.500 0.000

---

Record 12
Pr7Dy2Tm2 (PBE-GGA, optimized geometry); SG = C2/m; DFT formation energy = 0.134 eV per atom; energy above the lowest structure with this stoichiometry = 0.0086 eV/atom; size of the total moment = 0.0 μB/f.u.; VASP energy = -4.56 eV/atom
1.0
5.759 -5.790 0.000
5.759 5.790 0.000
-2.292 0.000 5.713
Pr Dy Tm
7 2 2
Direct
0.000 0.000 0.000
0.049 0.585 0.818
0.415 0.951 0.182
0.426 0.426 0.201
0.574 0.574 0.799
0.585 0.049 0.818
0.951 0.415 0.182
0.226 0.226 0.590
0.774 0.774 0.410
0.215 0.785 0.500
0.785 0.215 0.500